(1)
Material: Nd2Dy6YHo
Method: DFT, PBE-GGA
State: optimized geometry

ΔH_f (0 K) in kJ/mol of atoms: 11.0
Mass density in g/cm3: 7.72
DFT total energy in eV/cell: -94.091
Space group: C2/c (15)

a b c (Å): 9.6855 8.8047 8.8047
angles (deg): 118.37 94.45 94.45
Atoms (fractional coordinates):
Nd1 0.4577 0.8062 0.6995
Nd2 0.0423 0.3005 0.1938
Nd3 0.5423 0.1938 0.3005
Nd4 0.9577 0.6995 0.8062
Dy1 0.0569 0.1267 0.7457
Dy2 0.4431 0.2543 0.8733
Dy3 0.9431 0.8733 0.2543
Dy4 0.5569 0.7457 0.1267
Dy5 0.3123 0.9782 0.4249
Dy6 0.1877 0.5751 0.0218
Dy7 0.6877 0.0218 0.5751
Dy8 0.8123 0.4249 0.9782
Dy9 0.1194 0.7092 0.4989
Dy10 0.3806 0.5011 0.2908
Dy11 0.8806 0.2908 0.5011
Dy12 0.6194 0.4989 0.7092
Y1 0.2500 0.9816 0.0184
Y2 0.7500 0.0184 0.9816
Ho1 0.2500 0.4073 0.5927
Ho2 0.7500 0.5927 0.4073

(2)
Material: TaMnSi2
Method: DFT, PBE-GGA
State: optimized geometry

Mass density in g/cm3: 8.51
DFT total energy in eV/cell: -32.635
Space group: Cm (8)
E_form (uncorrected) in eV/atom: -0.19

a b c (Å): 4.9085 4.9085 4.5160
angles (deg): 73.88 73.88 33.16
Atoms (fractional coordinates):
Mn1 0.2634 0.2634 0.1795
Si1 0.0089 0.0089 0.0569
Si2 0.7399 0.7399 0.6940
Ta1 0.4879 0.4879 0.5697